12
Lattice="-4.0987 -3.8198 2.7198 5.4590 -2.1445 2.0947 -0.9587 5.9922 1.4005" Properties=species:S:1:pos:R:3 comment="NaNiHg2F8 PBE with a Hubbard U relaxed" dos_ef_per_ev_cell=8.5 total_energy_ev_per_atom=-3.18 density_g_cm3=5.7 magnetic_moment_mub_per_cell=2.792 pbc="T T T"
Na 0.0000 0.0000 0.0000
Ni 2.5902 0.4328 2.9512
Hg -2.1887 -0.4048 3.2637
Hg 0.6801 -2.9821 2.4072
F -1.5817 0.5363 1.4461
F 1.3262 -0.8880 2.0961
F -1.5131 3.4963 2.0360
F -3.4034 1.3189 2.9302
F -0.0823 -3.8184 4.3096
F -2.6953 -2.4302 3.7098
F -1.0743 -1.0442 4.9688
F 1.0724 1.2660 3.9883